Entry 1:
Entry from the Alexandria database: a crystal of Si2Os relaxed with PBEsol (SCAN).

abc: 8.656 2.976 7.443
angles: 90.00 118.95 90.00
Space group C2/m (No. 12)
One atom of each set of equivalent atoms:
Si 0.105 0.000 0.394 [4 per cell]
Si 0.141 0.500 0.028 [4 per cell]
Os 0.155 0.500 0.702 [4 per cell]

VASP energy in eV per atom: -31.0898
Uncorrected formation energy in meV per atom: -453

***

Entry 2:
Entry from the Alexandria database: a crystal of AgPtCl2 relaxed with PBEsol (SCAN).

abc: 3.603 5.488 7.863
angles: 90.00 90.00 90.00
Space group Cmm2 (No. 35)
One atom of each set of equivalent atoms:
Ag 0.000 0.000 0.000 [2 per cell]
Pt 0.000 0.500 0.764 [2 per cell]
Cl 0.000 0.000 0.570 [2 per cell]
Cl 0.000 0.500 0.206 [2 per cell]

VASP energy in eV per atom: -29.3891
E above lowest polymorph in meV per atom: 0.0
Uncorrected formation energy in meV per atom: -10

***

Entry 3:
Entry from the Alexandria database: a crystal of RbGa2F2 relaxed with PBEsol (SCAN).

abc: 4.545 4.545 10.209
angles: 90.00 90.00 90.00
Space group I4/mmm (No. 139)
One atom of each set of equivalent atoms:
Rb 0.000 0.000 0.000 [2 per cell]
Ga 0.000 0.000 0.341 [4 per cell]
F 0.000 0.500 0.250 [4 per cell]

VASP energy in eV per atom: -13.2993
Uncorrected formation energy in meV per atom: -1197

***

Entry 4:
Entry from the Alexandria database: a crystal of K2TlAg relaxed with PBEsol (SCAN).

abc: 4.9634 4.9634 21.5403
angles: 90.00 90.00 120.00
Space group R3m (No. 160, hexagonal axes)
One atom of each set of equivalent atoms:
K 0.0000 0.0000 0.0000 [3 per cell]
K 0.0000 0.0000 0.1925 [3 per cell]
Tl 0.0000 0.0000 0.4292 [3 per cell]
Ag 0.0000 0.0000 0.7637 [3 per cell]

VASP energy in eV per atom: -30.1434
E above lowest polymorph in meV per atom: 10.6
Energy of formation in eV per atom: -0.0477

***

Entry 5:
Entry from the Alexandria database: a crystal of AlNiSe2 relaxed with PBEsol (SCAN).

abc: 3.6166 3.6166 17.5274
angles: 90.00 90.00 120.00
Space group R-3m (No. 166, hexagonal axes)
One atom of each set of equivalent atoms:
Al 0.0000 0.0000 0.0000 [3 per cell]
Ni 0.0000 0.0000 0.5000 [3 per cell]
Se 0.0000 0.0000 0.2446 [6 per cell]

VASP energy in eV per atom: -16.4554
Uncorrected formation energy in meV per atom: -435

***

Entry 6:
Entry from the Alexandria database: a crystal of Ba5Al3F19 relaxed with PBEsol (SCAN).

abc: 14.540 14.540 7.478
angles: 90.00 90.00 90.00
Space group I4/m (No. 87)
One atom of each set of equivalent atoms:
Ba 0.000 0.500 0.250 [4 per cell]
Ba 0.055 0.214 0.000 [8 per cell]
Ba 0.083 0.759 0.500 [8 per cell]
Al 0.000 0.000 0.253 [4 per cell]
Al 0.158 0.322 0.500 [8 per cell]
F 0.000 0.000 0.000 [2 per cell]
F 0.000 0.000 0.500 [2 per cell]
F 0.047 0.379 0.500 [8 per cell]
F 0.050 0.887 0.241 [16 per cell]
F 0.076 0.384 0.000 [8 per cell]
F 0.095 0.697 0.169 [16 per cell]
F 0.111 0.244 0.333 [16 per cell]
F 0.234 0.237 0.000 [8 per cell]

VASP energy in eV per atom: -14.7200
Uncorrected formation energy in meV per atom: -4043

***

Entry 7:
Entry from the Alexandria database: a crystal of Ag2SbSe relaxed with PBEsol (SCAN).

abc: 3.9031 3.9031 19.3095
angles: 90.00 90.00 120.00
Space group R-3m (No. 166, hexagonal axes)
One atom of each set of equivalent atoms:
Ag 0.0000 0.0000 0.2444 [6 per cell]
Sb 0.0000 0.0000 0.0000 [3 per cell]
Se 0.0000 0.0000 0.5000 [3 per cell]

VASP energy in eV per atom: -29.9869
Uncorrected formation energy in meV per atom: 31

***

Entry 8:
Entry from the Alexandria database: a crystal of BaTeH relaxed with PBEsol (SCAN).

abc: 4.8300 4.8300 25.3058
angles: 90.00 90.00 120.00
Space group R3m (No. 160, hexagonal axes)
One atom of each set of equivalent atoms:
Ba 0.0000 0.0000 0.0000 [3 per cell]
Ba 0.0000 0.0000 0.1695 [3 per cell]
Te 0.0000 0.0000 0.5835 [3 per cell]
Te 0.0000 0.0000 0.7530 [3 per cell]
H 0.0000 0.0000 0.3233 [3 per cell]
H 0.0000 0.0000 0.3546 [3 per cell]

VASP energy in eV per atom: -28.0483

***

| no. | ρ (g/cm3) | total magnetization (μB per cell) |
| --- | --- | --- |
| 1 | 9.75 | 0.0 |
| 2 | 7.99 | 0.6 |
| 3 | 4.14 | 0.0 |
| 4 | 4.23 | 0.0 |
| 5 | 6.11 | 3.7 |
| 6 | 4.74 | 1.0 |
| 7 | 8.14 | 0.0 |
| 8 | 5.18 | 0.0 |